--- P ---
# ZrFe3Se

Crystalline ZrFe3Se at its relaxed geometry (GGA-PBE, Alexandria via LeMat-Bulk).

a b c (Å): 4.346 4.346 4.346
angles (deg): 90.00 90.00 90.00
Last column: magnetic moment on the atom in μB.
Element x y z (fractional)
Fe: 0.000 0.500 0.000  1.85
Fe: 0.500 0.000 0.000  2.00
Fe: 0.000 0.000 0.500  1.73
Zr: 0.500 0.500 0.500  -0.66
Se: 0.000 0.000 0.000  -0.03

Properties
- Mass density: 6.831 g/cm³
- D(E_F): 6.11 states/eV/f.u.
- Magnetization: 4.383 μB per cell
- Space group: Pm-3m, No. 221



--- Q ---
# ZrFe3Se

Crystalline ZrFe3Se at its relaxed geometry (GGA-PBE, Alexandria via LeMat-Bulk).

a b c (Å): 4.661 4.661 4.661
angles (deg): 90.00 90.00 90.00
Last column: magnetic moment on the atom in μB.
Element x y z (fractional)
Fe: 0.000 0.500 0.000  2.30
Fe: 0.500 0.000 0.000  2.26
Fe: 0.000 0.000 0.500  2.28
Zr: 0.000 0.000 0.000  -0.69
Se: 0.500 0.500 0.500  0.08

Properties
- Mass density: 5.540 g/cm³
- D(E_F): 5.32 states/eV/f.u.
- Magnetization: 6.167 μB per cell
- Space group: Pm-3m, No. 221



Quick one: least stable of them? Q



--- P ---
# Zr4FeSe

Crystalline Zr4FeSe at its relaxed geometry (GGA-PBE, Alexandria via LeMat-Bulk).

a b c (Å): 5.695 5.695 5.695
angles (deg): 60.00 60.00 60.00
Last column: magnetic moment on the atom in μB.
Element x y z (fractional)
Zr: 0.377 0.377 0.377  -0.13
Zr: 0.870 0.377 0.377  -0.13
Zr: 0.377 0.870 0.377  -0.13
Zr: 0.377 0.377 0.870  -0.13
Fe: 0.750 0.750 0.750  2.95
Se: 0.000 0.000 0.000  0.00

Properties
- Mass density: 6.353 g/cm³
- D(E_F): 5.14 states/eV/f.u.
- Magnetization: 2.212 μB per cell
- Space group: F-43m, No. 216



--- Q ---
# Zr4FeSe

Crystalline Zr4FeSe at its relaxed geometry (GGA-PBE, Alexandria via LeMat-Bulk).

a b c (Å): 3.616 7.531 17.202
angles (deg): 90.00 90.00 90.00
Element x y z (fractional)
Zr: 0.750 0.986 0.221
Zr: 0.750 0.486 0.279
Zr: 0.750 0.366 0.052
Zr: 0.250 0.634 0.948
Zr: 0.250 0.134 0.552
Zr: 0.250 0.514 0.721
Zr: 0.750 0.483 0.571
Zr: 0.250 0.017 0.071
Zr: 0.750 0.348 0.852
Zr: 0.250 0.014 0.779
Zr: 0.750 0.848 0.648
Zr: 0.250 0.152 0.352
Zr: 0.750 0.866 0.448
Zr: 0.250 0.517 0.429
Zr: 0.250 0.652 0.148
Zr: 0.750 0.983 0.929
Se: 0.250 0.778 0.310
Se: 0.750 0.722 0.810
Se: 0.250 0.278 0.190
Se: 0.750 0.222 0.690
Fe: 0.250 0.231 0.951
Fe: 0.750 0.769 0.049
Fe: 0.750 0.269 0.451
Fe: 0.250 0.731 0.549

Properties
- Mass density: 7.086 g/cm³
- D(E_F): 5.73 states/eV/f.u.
- Magnetization: 0.000 μB per cell
- Space group: Pnma, No. 62



Quick one: least stable of them? P



--- P ---
# Fe4Si

Crystalline Fe4Si at its relaxed geometry (GGA-PBE, Alexandria via LeMat-Bulk).

a b c (Å): 6.456 6.456 6.456
angles (deg): 151.93 151.93 40.12
Last column: magnetic moment on the atom in μB.
Element x y z (fractional)
Fe: 0.405 0.405 0.000  -1.11
Fe: 0.250 0.750 0.500  1.50
Fe: 0.595 0.595 0.000  -1.11
Fe: 0.750 0.250 0.500  1.50
Si: 0.000 0.000 0.000  0.05

Properties
- Mass density: 7.024 g/cm³
- D(E_F): 4.63 states/eV/f.u.
- Magnetization: 0.874 μB per cell
- Space group: I4/mmm, No. 139



--- Q ---
# Fe4Si

Crystalline Fe4Si at its relaxed geometry (GGA-PBE, Alexandria via LeMat-Bulk).

a b c (Å): 4.320 4.320 4.320
angles (deg): 101.01 101.01 128.17
Last column: magnetic moment on the atom in μB.
Element x y z (fractional)
Fe: 0.203 0.603 0.806  2.16
Fe: 0.397 0.203 0.599  2.16
Fe: 0.797 0.397 0.194  2.16
Fe: 0.603 0.797 0.401  2.16
Si: 0.000 0.000 0.000  -0.08

Properties
- Mass density: 7.325 g/cm³
- D(E_F): 4.44 states/eV/f.u.
- Magnetization: 8.466 μB per cell
- Space group: I4/m, No. 87



Quick one: least stable of them? P



--- P ---
# Fe4Si5

Crystalline Fe4Si5 at its relaxed geometry (GGA-PBE, Alexandria via LeMat-Bulk).

a b c (Å): 6.964 6.964 4.869
angles (deg): 90.00 90.00 120.00
Last column: magnetic moment on the atom in μB.
Element x y z (fractional)
Si: 0.333 0.667 0.500  -0.01
Si: 0.000 0.287 0.750  -0.02
Si: 0.000 0.713 0.250  -0.02
Si: 0.333 0.667 0.000  -0.01
Si: 0.667 0.333 0.000  -0.01
Si: 0.287 0.000 0.750  -0.02
Si: 0.667 0.333 0.500  -0.01
Si: 0.713 0.713 0.750  -0.02
Si: 0.713 0.000 0.250  -0.02
Si: 0.287 0.287 0.250  -0.02
Fe: 0.611 0.611 0.250  0.33
Fe: 0.611 0.000 0.750  0.33
Fe: 0.000 0.611 0.750  0.33
Fe: 0.389 0.389 0.750  0.33
Fe: 0.389 0.000 0.250  0.33
Fe: 0.000 0.389 0.250  0.33
Fe: 0.000 0.000 0.500  1.35
Fe: 0.000 0.000 0.000  1.35

Properties
- Mass density: 5.908 g/cm³
- D(E_F): 6.02 states/eV/f.u.
- Magnetization: 4.402 μB per cell
- Space group: P6_3/mcm, No. 193



--- Q ---
# Fe4Si5

Crystalline Fe4Si5 at its relaxed geometry (GGA-PBE, Alexandria via LeMat-Bulk).

a b c (Å): 5.572 5.572 5.572
angles (deg): 96.60 96.60 140.37
Last column: magnetic moment on the atom in μB.
Element x y z (fractional)
Fe: 0.698 0.000 0.698  0.98
Fe: 0.302 0.000 0.302  0.98
Fe: 0.000 0.302 0.302  0.98
Fe: 0.000 0.698 0.698  0.98
Si: 0.673 0.673 0.347  -0.03
Si: 0.327 0.327 0.653  -0.03
Si: 0.327 0.673 0.000  -0.03
Si: 0.673 0.327 0.000  -0.03
Si: 0.000 0.000 0.000  -0.02

Properties
- Mass density: 5.818 g/cm³
- D(E_F): 7.36 states/eV/f.u.
- Magnetization: 3.715 μB per cell
- Space group: I4/mmm, No. 139



Quick one: least stable of them? Q



--- P ---
# FeSi4

Crystalline FeSi4 at its relaxed geometry (GGA-PBE, Alexandria via LeMat-Bulk).

a b c (Å): 4.344 4.344 4.344
angles (deg): 90.00 90.00 90.00
Element x y z (fractional)
Si: 0.000 0.500 0.500
Si: 0.500 0.000 0.500
Si: 0.000 0.000 0.000
Si: 0.500 0.500 0.000
Fe: 0.500 0.500 0.500

Properties
- Mass density: 3.407 g/cm³
- D(E_F): 3.80 states/eV/f.u.
- Magnetization: 0.001 μB per cell
- Space group: Pm-3m, No. 221



--- Q ---
# FeSi4

Crystalline FeSi4 at its relaxed geometry (GGA-PBE, Alexandria via LeMat-Bulk).

a b c (Å): 4.469 4.469 4.469
angles (deg): 101.01 101.01 128.18
Last column: magnetic moment on the atom in μB.
Element x y z (fractional)
Si: 0.616 0.798 0.414  0.00
Si: 0.384 0.202 0.586  0.00
Si: 0.202 0.616 0.818  0.00
Si: 0.798 0.384 0.182  0.00
Fe: 0.000 0.000 0.000  0.79

Properties
- Mass density: 4.426 g/cm³
- D(E_F): 2.88 states/eV/f.u.
- Magnetization: 0.720 μB per cell
- Space group: I4/m, No. 87



Quick one: least stable of them? P



--- P ---
# Fe3Si5

Crystalline Fe3Si5 at its relaxed geometry (GGA-PBE, Alexandria via LeMat-Bulk).

a b c (Å): 4.885 4.885 3.805
angles (deg): 90.00 90.00 91.57
Element x y z (fractional)
Fe: 0.807 0.807 0.500
Fe: 0.500 0.500 0.000
Fe: 0.193 0.193 0.500
Si: 0.000 0.000 0.000
Si: 0.299 0.701 0.500
Si: 0.000 0.500 0.000
Si: 0.500 0.000 0.000
Si: 0.701 0.299 0.500

Properties
- Mass density: 5.635 g/cm³
- D(E_F): 3.46 states/eV/f.u.
- Magnetization: 0.001 μB per cell
- Space group: Cmmm, No. 65



--- Q ---
# Fe3Si5

Crystalline Fe3Si5 at its relaxed geometry (GGA-PBE, Alexandria via LeMat-Bulk).

a b c (Å): 6.776 6.776 4.789
angles (deg): 90.00 90.00 120.00
Element x y z (fractional)
Fe: 0.390 0.000 0.750
Fe: 0.000 0.390 0.750
Fe: 0.390 0.390 0.250
Fe: 0.610 0.610 0.750
Fe: 0.000 0.610 0.250
Fe: 0.610 0.000 0.250
Si: 0.667 0.333 0.000
Si: 0.667 0.333 0.500
Si: 0.746 0.000 0.750
Si: 0.000 0.254 0.250
Si: 0.000 0.746 0.750
Si: 0.333 0.667 0.500
Si: 0.746 0.746 0.250
Si: 0.254 0.000 0.250
Si: 0.254 0.254 0.750
Si: 0.333 0.667 0.000

Properties
- Mass density: 5.372 g/cm³
- D(E_F): 5.41 states/eV/f.u.
- Magnetization: 0.000 μB per cell
- Space group: P6_3/mcm, No. 193



Quick one: least stable of them? Q